No. 1
Material: Zr3H2N
Method: DFT, PBE-GGA
State: optimized geometry

```
Zr3H2N
1.0
-2.190 1.483 1.727
0.288 -4.488 4.219
5.946 4.921 3.316
N Zr H
2 6 4
Direct
0.750 0.228 0.200
0.250 0.772 0.800
0.750 0.930 0.670
0.750 0.558 0.325
0.250 0.070 0.330
0.250 0.442 0.675
0.750 0.745 0.988
0.250 0.255 0.012
0.750 0.598 0.572
0.250 0.402 0.428
0.250 0.929 0.092
0.750 0.071 0.908
```

Output
M_tot	0.00	μB/f.u.
calculated total energy	-7.48	eV/atom
D(E_F)	2.7	states/eV/f.u.
crystal system	monoclinic

***

No. 2
Material: Zr6H2N
Method: DFT, PBE-GGA
State: optimized geometry

```
Zr6H2N
1.0
5.265 0.000 0.153
0.000 6.323 0.000
-0.467 0.000 8.980
Zr H N
12 4 2
Direct
0.769 0.996 0.270
0.251 0.752 0.090
0.768 0.751 0.923
0.268 0.749 0.423
0.231 0.004 0.730
0.731 0.496 0.230
0.749 0.248 0.910
0.232 0.249 0.077
0.269 0.504 0.770
0.249 0.252 0.410
0.751 0.748 0.590
0.732 0.251 0.577
0.498 0.764 0.757
0.998 0.736 0.257
0.502 0.236 0.243
0.002 0.264 0.743
0.500 0.500 0.000
0.000 0.000 0.500
```

Output
M_tot	0.00	μB/f.u.
calculated total energy	-7.90	eV/atom
D(E_F)	5.8	states/eV/f.u.
crystal system	monoclinic

***

No. 3
Material: Zr2H3N
Method: DFT, PBE-GGA
State: optimized geometry

```
Zr2H3N
1.0
-3.062 2.210 3.242
-3.911 -2.051 -2.295
0.318 -3.959 2.998
N Zr H
2 4 6
Direct
0.750 0.750 0.250
0.250 0.250 0.750
0.000 0.500 0.500
0.500 0.500 0.000
0.000 0.000 0.000
0.500 0.000 0.500
0.250 0.750 0.250
0.750 0.250 0.250
0.750 0.750 0.750
0.250 0.250 0.250
0.250 0.750 0.750
0.750 0.250 0.750
```

Output
M_tot	0.00	μB/f.u.
calculated total energy	-6.62	eV/atom
D(E_F)	2.1	states/eV/f.u.
crystal system	cubic